No. 1
## Tc2AsCl (PBE-GGA)

Data for a geometry-optimized Tc2AsCl structure.

Summary:
Crystal system: monoclinic
E above lowest polymorph: 268.8 meV per atom
SG: P2/m, No. 10

Cell: 3.157 3.148 6.791 Å, 89.93 90.00 90.00°
Fractional coordinates of all 4 atoms:
Cl1 0.500 0.750 0.750
Tc1 0.000 0.750 0.060
Tc2 0.000 0.750 0.440
As1 0.500 0.250 0.250

=====

No. 2
## TcAs2Cl (PBE-GGA)

Data for a geometry-optimized TcAs2Cl structure.

Summary:
Crystal system: tetragonal
E above lowest polymorph: 326.4 meV per atom
SG: I-42d, No. 122

Cell: 6.219 6.219 7.022 Å, 63.72 63.72 90.00°
Fractional coordinates of all 8 atoms:
Tc1 0.000 0.000 0.000
Tc2 0.750 0.250 0.500
Cl1 0.250 0.750 0.500
Cl2 0.500 0.500 0.000
As1 0.702 0.125 0.250
As2 0.048 0.625 0.250
As3 0.375 0.298 0.750
As4 0.875 0.952 0.750

=====

No. 3
## Tc2AsCl (PBE-GGA)

Data for a geometry-optimized Tc2AsCl structure.

Summary:
Crystal system: monoclinic
E above lowest polymorph: 406.7 meV per atom
SG: C2/m, No. 12

Cell: 4.223 4.223 5.461 Å, 76.70 76.70 42.02°
Fractional coordinates of all 4 atoms:
Cl1 0.750 0.750 0.750
Tc1 0.997 0.997 0.035
Tc2 0.503 0.503 0.465
As1 0.250 0.250 0.250

=====

No. 4
## TcAs2Cl (PBE-GGA)

Data for a geometry-optimized TcAs2Cl structure.

Summary:
Crystal system: orthorhombic
E above lowest polymorph: 386.8 meV per atom
SG: Immm, No. 71

Cell: 6.150 6.150 6.150 Å, 152.19 136.42 52.49°
Fractional coordinates of all 4 atoms:
Tc1 0.250 0.750 0.500
As1 0.441 0.441 0.000
As2 0.059 0.059 0.000
Cl1 0.750 0.250 0.500

=====

No. 5
## TcAs2Cl (PBE-GGA)

Data for a geometry-optimized TcAs2Cl structure.

Summary:
Crystal system: monoclinic
E above lowest polymorph: 11.7 meV per atom
SG: P2/m, No. 10

Cell: 3.129 3.161 8.999 Å, 56.16 90.00 90.00°
Fractional coordinates of all 4 atoms:
As1 0.000 0.942 0.944
As2 0.000 0.558 0.556
Cl1 0.500 0.250 0.250
Tc1 0.500 0.750 0.750

=====

No. 6
## TcAs2Cl (PBE-GGA)

Data for a geometry-optimized TcAs2Cl structure.

Summary:
Crystal system: orthorhombic
E above lowest polymorph: 717.7 meV per atom
SG: Pmmm, No. 47

Cell: 3.139 4.510 4.757 Å, 90.00 90.00 90.00°
Fractional coordinates of all 4 atoms:
As1 0.000 0.000 0.000
As2 0.500 0.500 0.000
Tc1 0.000 0.500 0.500
Cl1 0.500 0.000 0.500

=====

Formation energy (no corrections), record by record: 207, 235, 345, 295, -80, 626 meV/atom